(1)
# La4FeBr5

A geometry-optimized La4FeBr5 structure (PBE-GGA, Alexandria via LeMat-Bulk).

Output
N(E_F): 0.4913 states/eV/atom
total magnetization: 0.0 μB/f.u.
ΔE_f (raw): -1.40 eV/atom
theoretical density: 4.72 g cm⁻³

a = 18.551 Å, b = 4.338 Å, c = 9.161 Å
α = 90.00°, β = 105.18°, γ = 90.00°
Space group C2/m (No. 12)
Symmetry-distinct sites (fractional):
La 0.002 0.000 0.231 (multiplicity 4)
La 0.137 0.500 0.072 (multiplicity 4)
Fe 0.000 0.500 0.000 (multiplicity 2)
Br 0.000 0.500 0.500 (multiplicity 2)
Br 0.170 0.000 0.321 (multiplicity 4)
Br 0.170 0.000 0.851 (multiplicity 4)

(2)
# Y2TmTh6

A geometry-optimized Y2TmTh6 structure (PBE-GGA, Alexandria via LeMat-Bulk).

Output
E_form: 3.78 kJ per mole of atoms
N(E_F): 1.5111 states/eV/atom
total magnetization: 0.0 μB/f.u.
theoretical density: 9.98 g cm⁻³

a = 18.510 Å, b = 3.581 Å, c = 8.732 Å
α = 90.00°, β = 90.20°, γ = 90.00°
Space group C2/m (No. 12)
Symmetry-distinct sites (fractional):
Y 0.057 0.000 0.167 (multiplicity 4)
Tm 0.000 0.500 0.500 (multiplicity 2)
Th 0.114 0.500 0.830 (multiplicity 4)
Th 0.168 0.000 0.501 (multiplicity 4)
Th 0.223 0.500 0.167 (multiplicity 4)

(3)
# Sr2NbSe

A geometry-optimized Sr2NbSe structure (PBE-GGA, Alexandria via LeMat-Bulk).

Output
N(E_F): 0.7145 states/eV/atom
total magnetization: 2.9 μB/f.u.
ΔE_f (raw): 0.00 eV/atom
theoretical density: 3.67 g cm⁻³

a = 11.214 Å, b = 11.214 Å, c = 4.990 Å
α = 90.00°, β = 90.00°, γ = 90.00°
Space group I-42d (No. 122)
Symmetry-distinct sites (fractional):
Sr 0.098 0.250 0.125 (multiplicity 8)
Nb 0.000 0.000 0.500 (multiplicity 4)
Se 0.000 0.000 0.000 (multiplicity 4)